Entry 1:
First-principles (meta-GGA SCAN) data for TlCuN2F at its PBEsol-relaxed geometry, as listed in Alexandria via LeMat-Bulk.

a = 3.726 Å, b = 3.726 Å, c = 4.583 Å
α = 90.00°, β = 90.00°, γ = 90.00°
Fractional coordinates of all 5 atoms:
1 Tl 0.000 0.000 0.000
2 Cu 0.500 0.500 0.500
3 N 0.000 0.500 0.500
4 N 0.500 0.000 0.500
5 F 0.500 0.500 0.000

Raw formation energy, eV per formula unit: 2.8
Space group: P4/mmm, No. 123


Entry 2:
First-principles (meta-GGA SCAN) data for ZnCuN2F at its PBEsol-relaxed geometry, as listed in Alexandria via LeMat-Bulk.

a = 3.794 Å, b = 3.794 Å, c = 3.968 Å
α = 90.00°, β = 90.00°, γ = 90.00°
Fractional coordinates of all 5 atoms:
1 Zn 0.000 0.000 0.000
2 Cu 0.500 0.500 0.500
3 N 0.000 0.500 0.000
4 N 0.500 0.000 0.000
5 F 0.000 0.000 0.500

Raw formation energy, eV per formula unit: 4.6
Space group: P4/mmm, No. 123


Entry 3:
First-principles (meta-GGA SCAN) data for ZnCuNF2 at its PBEsol-relaxed geometry, as listed in Alexandria via LeMat-Bulk.

a = 3.899 Å, b = 3.899 Å, c = 3.912 Å
α = 90.00°, β = 90.00°, γ = 90.00°
Fractional coordinates of all 5 atoms:
1 Zn 0.000 0.000 0.000
2 Cu 0.500 0.500 0.500
3 N 0.000 0.000 0.500
4 F 0.000 0.500 0.000
5 F 0.500 0.000 0.000

Raw formation energy, eV per formula unit: -1.5
Space group: P4/mmm, No. 123


Entry 4:
First-principles (meta-GGA SCAN) data for Na2CuF4 at its PBEsol-relaxed geometry, as listed in Alexandria via LeMat-Bulk.

a = 3.284 Å, b = 9.194 Å, c = 5.607 Å
α = 90.00°, β = 92.49°, γ = 90.00°
Fractional coordinates of all 14 atoms:
1 Na 0.018 0.182 0.416
2 Na 0.018 0.318 0.916
3 Na 0.982 0.682 0.084
4 Na 0.982 0.818 0.584
5 Cu 0.500 0.000 0.000
6 Cu 0.500 0.500 0.500
7 F 0.079 0.050 0.765
8 F 0.079 0.450 0.265
9 F 0.488 0.692 0.376
10 F 0.488 0.808 0.876
11 F 0.512 0.192 0.124
12 F 0.512 0.308 0.624
13 F 0.921 0.550 0.735
14 F 0.921 0.950 0.235

Raw formation energy, eV per formula unit: -17.5
Space group: P2_1/c, No. 14


Values of VASP energy, in order: -106.9, -46.2, -46.6, -110.5, all in eV per cell.